1.
The following is a PBE-GGA calculation of an optimized crystal structure of CeErPtAu, from Alexandria.

## Properties
ΔE to the lowest computed polymorph ... 65 meV per atom
Energy of formation ... -3.622 eV/f.u.
Space group ... No. 216

Cell: 5.063 5.063 5.063 Å, 60.00 60.00 60.00°
Each line ends with the local moment (μB).
Element x y z (fractional)
1 Au 0.750 0.750 0.750  0.00
2 Ce 0.000 0.000 0.000  0.68
3 Pt 0.250 0.250 0.250  -0.02
4 Er 0.500 0.500 0.500  0.04

2.
The following is a PBE-GGA calculation of an optimized crystal structure of CeErRhAu, from Alexandria.

## Properties
Energy of formation ... -2.849 eV/f.u.
Space group ... No. 216

Cell: 5.014 5.014 5.014 Å, 60.00 60.00 60.00°
Each line ends with the local moment (μB).
Element x y z (fractional)
1 Rh 0.750 0.750 0.750  -0.05
2 Au 0.250 0.250 0.250  0.00
3 Ce 0.000 0.000 0.000  0.55
4 Er 0.500 0.500 0.500  0.03

3.
The following is a PBE-GGA calculation of an optimized crystal structure of Ce2ErSi2Au2, from Alexandria.

## Properties
Uncorrected formation energy ... -627 meV per atom
Space group ... No. 166

Cell: 4.313 4.313 9.502 Å, 76.88 76.88 60.00°
Each line ends with the local moment (μB).
Element x y z (fractional)
1 Ce 0.141 0.141 0.577  0.67
2 Ce 0.859 0.859 0.423  0.67
3 Er 0.000 0.000 0.000  -0.02
4 Si 0.741 0.741 0.777  -0.01
5 Si 0.259 0.259 0.223  -0.01
6 Au 0.601 0.601 0.197  -0.01
7 Au 0.399 0.399 0.803  -0.01

4.
The following is a PBE-GGA calculation of an optimized crystal structure of CeErSiAu, from Alexandria.

## Properties
Uncorrected formation energy ... -577 meV per atom
Space group ... No. 216

Cell: 5.095 5.095 5.095 Å, 60.00 60.00 60.00°
Each line ends with the local moment (μB).
Element x y z (fractional)
1 Si 0.750 0.750 0.750  -0.01
2 Au 0.250 0.250 0.250  0.05
3 Ce 0.500 0.500 0.500  0.87
4 Er 0.000 0.000 0.000  0.24

5.
The following is a PBE-GGA calculation of an optimized crystal structure of CeErTlAu, from Alexandria.

## Properties
Energy of formation ... -1.776 eV/f.u.
Space group ... No. 216

Cell: 5.301 5.301 5.301 Å, 60.00 60.00 60.00°
Each line ends with the local moment (μB).
Element x y z (fractional)
1 Tl 0.500 0.500 0.500  -0.01
2 Au 0.000 0.000 0.000  0.01
3 Ce 0.250 0.250 0.250  0.83
4 Er 0.750 0.750 0.750  0.11

6.
The following is a PBE-GGA calculation of an optimized crystal structure of CeEuAu2, from Alexandria.

## Properties
ΔE to the lowest computed polymorph ... 9 meV per atom
Energy of formation ... -2.743 eV/f.u.
Space group ... No. 225

Cell: 5.257 5.257 5.257 Å, 60.00 60.00 60.00°
Each line ends with the local moment (μB).
Element x y z (fractional)
1 Eu 0.000 0.000 0.000  6.81
2 Au 0.250 0.250 0.250  0.00
3 Au 0.750 0.750 0.750  0.00
4 Ce 0.500 0.500 0.500  0.85

What is the formula in the second record? CeErRhAu